No. 1
A plane-wave DFT calculation with GGA-PBEsol was carried out for a geometry-optimized MgZr2W structure.

Properties
For the total energy, the calculation gives -33.4 eV/cell. As for the size of the total moment: 0.0 μB/f.u. As for the symmetry: P4/mmm, No. 123. As for the formation energy: 79 meV/atom.

Cell: 3.400 3.400 6.922 Å, 90.00 90.00 90.00°
Sites, in units of the cell vectors:
Mg (0.000, 0.000, 0.000)
Zr (0.500, 0.500, 0.278)
Zr (0.500, 0.500, 0.722)
W (0.000, 0.000, 0.500)

No. 2
A plane-wave DFT calculation with GGA-PBEsol was carried out for a geometry-optimized MgZr2W structure.

Properties
For the total energy, the calculation gives -32.5 eV/cell. As for the size of the total moment: 0.0 μB/f.u. As for the symmetry: Imm2, No. 44. As for the formation energy: 295 meV/atom.

Cell: 5.470 5.470 5.470 Å, 140.03 131.13 64.90°
Sites, in units of the cell vectors:
Mg (0.000, 0.000, 0.000)
Zr (0.476, 0.476, 0.000)
Zr (0.738, 0.238, 0.500)
W (0.246, 0.746, 0.500)